# 1
A plane-wave DFT calculation with PBE was carried out for a relaxed Tb2SmDyS6 crystal.

Results
**Density**: 5.226 Mg/m³
**E_form (uncorrected)**: -2.052 eV/atom
**Magnetic moment**: 0.0 μB/f.u.
**Raw total energy**: -0.469 Ry/atom
**Symmetry**: R3 (146)

Cell lengths 7.396, 7.396, 7.396 Å; angles 56.29, 56.29, 56.29 degrees
Fractional positions:
Tb 0.000 0.000 0.000
Tb 0.498 0.498 0.498
Sm 0.203 0.203 0.203
Dy 0.700 0.700 0.700
S 0.098 0.402 0.797
S 0.299 0.892 0.608
S 0.402 0.797 0.098
S 0.608 0.299 0.892
S 0.797 0.098 0.402
S 0.892 0.608 0.299


# 2
A plane-wave DFT calculation with PBE was carried out for a relaxed Y2Al7Ag12 crystal.

Results
**Density**: 7.129 Mg/m³
**Magnetic moment**: 0.0 μB/f.u.
**Raw total energy**: -0.267 Ry/atom
**Symmetry**: P-3 (147)

Cell lengths 11.755, 11.755, 3.233 Å; angles 90.00, 90.00, 120.00 degrees
Fractional positions:
Y 0.333 0.667 0.247
Y 0.667 0.333 0.753
Al 0.000 0.000 0.500
Al 0.130 0.418 0.747
Al 0.288 0.870 0.747
Al 0.418 0.288 0.253
Al 0.582 0.712 0.747
Al 0.712 0.130 0.253
Al 0.870 0.582 0.253
Ag 0.079 0.621 0.751
Ag 0.083 0.837 0.245
Ag 0.163 0.246 0.245
Ag 0.246 0.083 0.755
Ag 0.379 0.458 0.751
Ag 0.458 0.079 0.249
Ag 0.542 0.921 0.751
Ag 0.621 0.542 0.249
Ag 0.754 0.917 0.245
Ag 0.837 0.754 0.755
Ag 0.917 0.163 0.755
Ag 0.921 0.379 0.249


# 3
A plane-wave DFT calculation with PBE was carried out for a relaxed BeAsP2 crystal.

Results
**Density**: 3.526 Mg/m³
**Magnetic moment**: 0.0 μB/f.u.
**Raw total energy**: -0.324 Ry/atom
**Symmetry**: C2/m (12)

Cell lengths 5.170, 5.170, 4.240 Å; angles 90.10, 90.10, 37.32 degrees
Fractional positions:
Be 0.000 0.000 0.000
As 0.500 0.500 0.500
P 0.342 0.342 0.999
P 0.658 0.658 0.001


# 4
A plane-wave DFT calculation with PBE was carried out for a relaxed PuZrAu2 crystal.

Results
**Density**: 14.068 Mg/m³
**Magnetic moment**: 5.9 μB/f.u.
**Raw total energy**: -0.572 Ry/atom
**Symmetry**: P4/mmm (123)

Cell lengths 3.246, 3.246, 8.171 Å; angles 90.00, 90.00, 90.00 degrees
Fractional positions:
Pu 0.000 0.000 0.000
Zr 0.000 0.000 0.500
Au 0.500 0.500 0.272
Au 0.500 0.500 0.728